{"formula": "KMgTl", "functional": "PBE", "state": "relaxed", "formation_energy_mev_per_atom": 28, "dos_ef_per_ev_fu": 1.95, "volume_a3_per_cell": 98.56, "final_energy_ev_per_cell": -5.0, "magmom_total_mub_per_cell": 0.0, "e_above_lowest_polymorph_mev_per_atom": 82, "lattice_angstrom": [[5.516, 0.000, 0.000], [-2.758, 4.777, 0.000], [0.000, 0.000, 3.740]], "species": ["K", "Mg", "Tl"], "frac_coords": [[0.000, 0.000, 0.000], [0.667, 0.333, 0.500], [0.333, 0.667, 0.500]]}